No. 1
The following is a DFT calculation (PBE) of a relaxed Pm6Dy8Sc crystal.

Unit cell a=8.653 b=8.653 c=8.653 alpha=63.26 beta=63.26 gamma=63.26
Element x y z (fractional)
Pm  0.042  0.604  0.727
Pm  0.273  0.958  0.396
Pm  0.396  0.273  0.958
Pm  0.604  0.727  0.042
Pm  0.727  0.042  0.604
Pm  0.958  0.396  0.273
Dy  0.077  0.077  0.077
Dy  0.220  0.611  0.250
Dy  0.250  0.220  0.611
Dy  0.389  0.750  0.780
Dy  0.611  0.250  0.220
Dy  0.750  0.780  0.389
Dy  0.780  0.389  0.750
Dy  0.923  0.923  0.923
Sc  0.500  0.500  0.500

Summary:
**Formation enthalpy at 0 K**: 0.115 eV/atom
**Energy**: -69.93 eV/f.u.

=====

No. 2
The following is a DFT calculation (PBE) of a relaxed PmDy3Sc7 crystal.

Unit cell a=7.990 b=7.990 c=5.452 alpha=109.88 beta=109.88 gamma=82.27
Element x y z (fractional)
Pm  0.000  0.000  0.000
Dy  0.290  0.710  0.500
Dy  0.500  0.500  0.000
Dy  0.710  0.290  0.500
Sc  0.000  0.000  0.500
Sc  0.092  0.472  0.782
Sc  0.293  0.293  0.294
Sc  0.472  0.092  0.782
Sc  0.528  0.908  0.218
Sc  0.707  0.707  0.706
Sc  0.908  0.528  0.218

Summary:
**Formation enthalpy at 0 K**: 0.287 eV/atom
**Energy**: -59.73 eV/f.u.

=====

Which value of formation enthalpy at 0 K does entry 1 give?
0.115 eV/atom

=====

Which of these has the highest energy?
PmDy3Sc7